# Ca2Cr | Alexandria | GGA-PBE | optimized geometry
data_Ca2Cr
_chemical_formula_sum 'Ca8 Cr4'
_cell_length_a 3.676
_cell_length_b 3.676
_cell_length_c 29.309
_cell_angle_alpha 90.00
_cell_angle_beta 90.00
_cell_angle_gamma 90.00
_symmetry_space_group_name_H-M 'I 41/a m d'
_symmetry_Int_Tables_number 141
loop_
_symmetry_equiv_pos_as_xyz
'x,y,z'
'-x,-y,-z'
'-y+1/4,x+3/4,z+1/4'
'y+1/4,-x+3/4,-z+1/4'
'-x+1/2,-y,z+1/2'
'x+1/2,y,-z+1/2'
'y+1/4,-x+1/4,z+3/4'
'-y+1/4,x+1/4,-z+3/4'
'x,-y,-z'
'-x,y,z'
'-y+1/4,-x+1/4,-z+3/4'
'y+1/4,x+1/4,z+3/4'
'-x+1/2,y,-z+1/2'
'x+1/2,-y,z+1/2'
'y+1/4,x+3/4,-z+1/4'
'-y+1/4,-x+3/4,z+1/4'
'x+1/2,y+1/2,z+1/2'
'-x+1/2,-y+1/2,-z+1/2'
'-y+3/4,x+1/4,z+3/4'
'y+3/4,-x+1/4,-z+3/4'
'-x,-y+1/2,z'
'x,y+1/2,-z'
'y+3/4,-x+3/4,z+1/4'
'-y+3/4,x+3/4,-z+1/4'
'x+1/2,-y+1/2,-z+1/2'
'-x+1/2,y+1/2,z+1/2'
'-y+3/4,-x+3/4,-z+1/4'
'y+3/4,x+3/4,z+1/4'
'-x,y+1/2,-z'
'x,-y+1/2,z'
'y+3/4,x+1/4,-z+3/4'
'-y+3/4,-x+1/4,z+3/4'
loop_
_atom_site_label
_atom_site_fract_x
_atom_site_fract_y
_atom_site_fract_z
Ca1 0.000 0.250 0.308
Cr1 0.000 0.250 0.875
# VASP energy, eV per cell: -47.97
# Theoretical density, g/cm³: 2.2
# Magnetization, μB per cell: 18.1